Run i
VASP calculation (PBE-GGA) on an optimized crystal structure of AcNd6Y2.

a b c (Å): 3.6993 3.6993 27.4634
angles (deg): 90.00 90.00 120.00
Space group P-6m2 (No. 187)
Asymmetric unit:
Ac  0.0000  0.0000  0.0000 x1
Nd  0.0000  0.0000  0.2245 x2
Nd  0.0000  0.0000  0.4346 x2
Nd  0.3333  0.6667  0.1164 x2
Y  0.3333  0.6667  0.3319 x2

Values from the calculation:
- spin magnetization (μB/f.u.) = 0.0
- mass density (g/cm3) = 6.48
- crystal system = hexagonal

***

Run ii
VASP calculation (PBE-GGA) on an optimized crystal structure of AcNd6Y2.

a b c (Å): 17.8651 10.6048 3.5312
angles (deg): 90.00 100.83 90.00
Space group C2/m (No. 12)
Asymmetric unit:
Ac  0.0000  0.0000  0.0000 x2
Nd  0.0000  0.3166  0.5000 x4
Nd  0.1680  0.1961  0.1685 x8
Y  0.1689  0.5000  0.6685 x4

Values from the calculation:
- spin magnetization (μB/f.u.) = 0.0
- mass density (g/cm3) = 6.42
- crystal system = monoclinic

***

Name the most stable of them. run i.

***

Run i
VASP calculation (PBE-GGA) on an optimized crystal structure of AcNdYZn.

a b c (Å): 3.7178 3.7178 9.0500
angles (deg): 90.00 90.00 90.00
Space group P4mm (No. 99)
Asymmetric unit:
Ac  0.0000  0.0000  0.0000 x1
Nd  0.5000  0.5000  0.3100 x1
Y  0.5000  0.5000  0.6986 x1
Zn  0.0000  0.0000  0.5166 x1

Values from the calculation:
- spin magnetization (μB/f.u.) = 0.0
- mass density (g/cm3) = 6.98
- crystal system = tetragonal

***

Run ii
VASP calculation (PBE-GGA) on an optimized crystal structure of AcNdYZn.

a b c (Å): 7.9169 7.9169 7.9169
angles (deg): 90.00 90.00 90.00
Space group F-43m (No. 216)
Asymmetric unit:
Ac  0.0000  0.0000  0.0000 x4
Nd  0.2500  0.2500  0.7500 x4
Y  0.2500  0.2500  0.2500 x4
Zn  0.0000  0.0000  0.5000 x4

Values from the calculation:
- spin magnetization (μB/f.u.) = 0.0
- mass density (g/cm3) = 7.03
- crystal system = cubic

***

Name the most stable of them. run i.

***

Run i
VASP calculation (PBE-GGA) on an optimized crystal structure of Ac2NdZn2.

a b c (Å): 4.9860 4.5869 14.0408
angles (deg): 90.00 99.56 90.00
Space group P2_1/m (No. 11)
Asymmetric unit:
Ac  0.0533  0.2500  0.1130 x2
Ac  0.2638  0.7500  0.5304 x2
Nd  0.3677  0.2500  0.7340 x2
Zn  0.1735  0.2500  0.3367 x2
Zn  0.4780  0.2500  0.9532 x2

Values from the calculation:
- spin magnetization (μB/f.u.) = 0.0
- mass density (g/cm3) = 7.65
- crystal system = monoclinic

***

Run ii
VASP calculation (PBE-GGA) on an optimized crystal structure of Ac2NdZn2.

a b c (Å): 3.8604 21.4664 3.8113
angles (deg): 90.00 90.00 90.00
Space group Cmmm (No. 65)
Asymmetric unit:
Ac  0.0000  0.1698  0.0000 x4
Nd  0.0000  0.0000  0.0000 x2
Zn  0.0000  0.4229  0.5000 x4

Values from the calculation:
- spin magnetization (μB/f.u.) = 0.0
- mass density (g/cm3) = 7.67
- crystal system = orthorhombic

***

Name the most stable of them. run ii.

***

Run i
VASP calculation (PBE-GGA) on an optimized crystal structure of AcNd2Zn2.

a b c (Å): 4.7426 4.5783 13.7828
angles (deg): 90.00 99.70 90.00
Space group P2_1/m (No. 11)
Asymmetric unit:
Ac  0.1344  0.2500  0.2689 x2
Nd  0.2377  0.7500  0.4736 x2
Nd  0.4483  0.2500  0.8944 x2
Zn  0.0204  0.2500  0.0407 x2
Zn  0.3289  0.2500  0.6613 x2

Values from the calculation:
- spin magnetization (μB/f.u.) = 0.0
- mass density (g/cm3) = 7.28
- crystal system = monoclinic

***

Run ii
VASP calculation (PBE-GGA) on an optimized crystal structure of AcNd2Zn2.

a b c (Å): 3.8473 20.6205 3.7492
angles (deg): 90.00 90.00 90.00
Space group Cmmm (No. 65)
Asymmetric unit:
Ac  0.0000  0.0000  0.0000 x2
Nd  0.0000  0.1779  0.0000 x4
Zn  0.0000  0.4004  0.5000 x4

Values from the calculation:
- spin magnetization (μB/f.u.) = 0.0
- mass density (g/cm3) = 7.22
- crystal system = orthorhombic

***

Name the most stable of them. run i.